1.
Compound: Sr2MgGa4Au3
Source: Alexandria
Functional: GGA-PBE
Structure: relaxed

Properties
The value obtained for the formation energy from the elements is -5.5 eV/f.u. The value obtained for the density is 7.954 g/cm³. The uncorrected energy is -32.4 eV for the cell shown.

Cell and atoms, written as CIF:
```
data_Sr2MgGa4Au3
_chemical_formula_sum 'Sr2 Mg1 Ga4 Au3'
_cell_length_a 4.470
_cell_length_b 4.470
_cell_length_c 11.175
_cell_angle_alpha 90.00
_cell_angle_beta 90.00
_cell_angle_gamma 90.00
_space_group_name_H-M_alt 'P -4 m 2'
_space_group_IT_number 115
loop_
_space_group_symop_operation_xyz
'x,y,z'
'y,-x,-z'
'-x,-y,z'
'-y,x,-z'
'-x,y,z'
'-y,-x,-z'
'x,-y,z'
'y,x,-z'
loop_
_atom_site_label
_atom_site_fract_x
_atom_site_fract_y
_atom_site_fract_z
Sr1 0.000 0.500 0.243
Mg1 0.000 0.000 0.500
Ga1 0.000 0.000 0.000
Ga2 0.000 0.500 0.640
Ga3 0.500 0.500 0.000
Au1 0.000 0.500 0.872
Au2 0.500 0.500 0.500
```

2.
Compound: Nb5Se4
Source: Alexandria
Functional: GGA-PBE
Structure: relaxed

Properties
As for the uncorrected formation energy: -0.694 eV per atom. The value obtained for the density is 7.512 g/cm³. The uncorrected energy is -141.1 eV for the cell shown.

Cell and atoms, written as CIF:
```
data_Nb5Se4
_chemical_formula_sum 'Nb10 Se8'
_cell_length_a 10.009
_cell_length_b 10.009
_cell_length_c 3.444
_cell_angle_alpha 90.00
_cell_angle_beta 90.00
_cell_angle_gamma 90.00
_space_group_name_H-M_alt 'I 4/m'
_space_group_IT_number 87
_space_group_name_Hall '-I 4'
loop_
_atom_site_label
_atom_site_fract_x
_atom_site_fract_y
_atom_site_fract_z
Nb1 0.000 0.000 0.000
Nb2 0.125 0.196 0.500
Se1 0.060 0.718 0.000
```

3.
Compound: Pm6Y2Ho3
Source: Alexandria
Functional: GGA-PBE
Structure: relaxed

Properties
For the energy relative to the lowest polymorph listed for this composition, the calculation gives 281.8 meV/atom. The value obtained for the formation energy from the elements is 3.2 eV/f.u. The value obtained for the density is 6.676 g/cm³. The uncorrected energy is -103.8 eV for the cell shown.

Cell and atoms, written as CIF:
```
data_Pm6Y2Ho3
_chemical_formula_sum 'Pm12 Y4 Ho6'
_cell_length_a 4.761
_cell_length_b 4.761
_cell_length_c 33.856
_cell_angle_alpha 90.00
_cell_angle_beta 90.00
_cell_angle_gamma 90.00
_space_group_name_H-M_alt 'I 4/m m m'
_space_group_IT_number 139
_space_group_name_Hall '-I 4 2'
loop_
_atom_site_label
_atom_site_fract_x
_atom_site_fract_y
_atom_site_fract_z
Pm1 0.000 0.000 0.201
Pm2 0.000 0.500 0.121
Y1 0.000 0.000 0.046
Ho1 0.000 0.000 0.303
Ho2 0.000 0.000 0.500
```

4.
Compound: TbGdCo2
Source: Alexandria
Functional: GGA-PBE
Structure: relaxed

Properties
For the energy relative to the lowest polymorph listed for this composition, the calculation gives 0.0 meV/atom. The value obtained for the formation energy from the elements is -0.5 eV/f.u. The value obtained for the density is 9.467 g/cm³. The uncorrected energy is -133.5 eV for the cell shown.

Cell and atoms, written as CIF:
```
data_TbGdCo2
_chemical_formula_sum 'Tb4 Gd4 Co8'
_cell_length_a 6.728
_cell_length_b 6.728
_cell_length_c 6.728
_cell_angle_alpha 90.00
_cell_angle_beta 90.00
_cell_angle_gamma 90.00
_space_group_name_H-M_alt 'F m -3 m'
_space_group_IT_number 225
_space_group_name_Hall '-F 4 2 3'
loop_
_atom_site_label
_atom_site_fract_x
_atom_site_fract_y
_atom_site_fract_z
Tb1 0.000 0.000 0.000
Gd1 0.000 0.000 0.500
Co1 0.250 0.250 0.250
```

5.
Compound: Ti5ZnCu
Source: Alexandria
Functional: GGA-PBE
Structure: relaxed

Properties
The value obtained for the formation energy from the elements is 1.0 eV/f.u. The value obtained for the density is 5.244 g/cm³. The uncorrected energy is -175.5 eV for the cell shown.

Cell and atoms, written as CIF:
```
data_Ti5ZnCu
_chemical_formula_sum 'Ti20 Zn4 Cu4'
_cell_length_a 9.365
_cell_length_b 5.321
_cell_length_c 10.322
_cell_angle_alpha 90.00
_cell_angle_beta 114.90
_cell_angle_gamma 90.00
_space_group_name_H-M_alt 'C 1 2/c 1'
_space_group_IT_number 15
loop_
_space_group_symop_operation_xyz
'x,y,z'
'-x,-y,-z'
'-x,y,-z+1/2'
'x,-y,z+1/2'
'x+1/2,y+1/2,z'
'-x+1/2,-y+1/2,-z'
'-x+1/2,y+1/2,-z+1/2'
'x+1/2,-y+1/2,z+1/2'
loop_
_atom_site_label
_atom_site_fract_x
_atom_site_fract_y
_atom_site_fract_z
Ti1 0.000 0.098 0.250
Ti2 0.078 0.237 0.008
Ti3 0.220 0.114 0.721
Zn1 0.000 0.416 0.750
Cu1 0.250 0.250 0.500
```

6.
Compound: ZrMoI2N
Source: Alexandria
Functional: GGA-PBE
Structure: relaxed

Properties
For the energy relative to the lowest polymorph listed for this composition, the calculation gives 0.0 meV/atom. As for the uncorrected formation energy: 0.542 eV per atom. The value obtained for the density is 6.378 g/cm³. The uncorrected energy is -28.1 eV for the cell shown.

Cell and atoms, written as CIF:
```
data_ZrMoI2N
_chemical_formula_sum 'Zr1 Mo1 I2 N1'
_cell_length_a 5.597
_cell_length_b 5.597
_cell_length_c 3.782
_cell_angle_alpha 90.00
_cell_angle_beta 90.00
_cell_angle_gamma 90.00
_space_group_name_H-M_alt 'P 4/m m m'
_space_group_IT_number 123
_space_group_name_Hall '-P 4 2'
loop_
_atom_site_label
_atom_site_fract_x
_atom_site_fract_y
_atom_site_fract_z
Zr1 0.000 0.000 0.000
Mo1 0.500 0.500 0.500
I1 0.000 0.500 0.500
N1 0.500 0.500 0.000
```

Q: Among the records above, which one has the highest density?
A: TbGdCo2

Q: The lowest density belongs to which entry?
A: Ti5ZnCu

Q: Among the records above, which one has the lowest uncorrected energy?
A: Ti5ZnCu

Q: Which of these has the highest uncorrected energy?
A: ZrMoI2N